1.
## AcDy4Ho2 (PBE)

Data for a relaxed AcDy4Ho2 crystal.

Structure (CIF):
```
data_AcDy4Ho2
_chemical_formula_sum 'Ac2 Dy8 Ho4'
_space_group_name_H-M_alt 'P 1'
_space_group_IT_number 1
_space_group_name_Hall 'P 1'
_cell_length_a 7.130
_cell_length_b 8.957
_cell_length_c 8.663
_cell_angle_alpha 114.92
_cell_angle_beta 101.67
_cell_angle_gamma 101.63
loop_
_atom_site_label
_atom_site_fract_x
_atom_site_fract_y
_atom_site_fract_z
Dy1 0.317 0.016 0.693
Dy2 0.005 0.663 0.806
Dy3 0.234 0.414 0.960
Dy4 0.810 0.003 0.691
Dy5 0.706 0.132 0.134
Dy6 0.595 0.273 0.542
Dy7 0.901 0.836 0.246
Dy8 0.511 0.675 0.809
Ac1 0.119 0.557 0.375
Ac2 0.203 0.121 0.125
Ho1 0.726 0.405 0.958
Ho2 0.420 0.842 0.254
Ho3 0.088 0.265 0.540
Ho4 0.615 0.547 0.366
```

- Total moment: 0.0 μB per formula unit


2.
## AcDy4Ho2 (PBE)

Data for a relaxed AcDy4Ho2 crystal.

Structure (CIF):
```
data_AcDy4Ho2
_chemical_formula_sum 'Ac2 Dy8 Ho4'
_space_group_name_H-M_alt 'P 1'
_space_group_IT_number 1
_space_group_name_Hall 'P 1'
_cell_length_a 11.192
_cell_length_b 8.233
_cell_length_c 8.508
_cell_angle_alpha 135.42
_cell_angle_beta 116.65
_cell_angle_gamma 82.53
loop_
_atom_site_label
_atom_site_fract_x
_atom_site_fract_y
_atom_site_fract_z
Ho1 0.842 0.835 0.311
Ho2 0.622 0.270 0.907
Ho3 0.163 0.319 0.742
Ho4 0.431 0.353 0.180
Dy1 0.556 0.838 0.879
Dy2 0.335 0.273 0.474
Dy3 0.485 0.769 0.188
Dy4 0.305 0.851 0.466
Dy5 0.750 0.755 0.606
Dy6 0.874 0.255 0.319
Dy7 0.016 0.785 0.044
Dy8 0.693 0.338 0.597
Ac1 0.175 0.795 0.757
Ac2 0.003 0.315 0.030
```

- Total moment: 0.0 μB per formula unit


Most stable structure - 1; separation to the second - 10 meV per atom.


1.
## Ac4DyHo (PBE)

Data for a relaxed Ac4DyHo crystal.

Structure (CIF):
```
data_Ac4DyHo
_chemical_formula_sum 'Ac4 Dy1 Ho1'
_space_group_name_H-M_alt 'P 1'
_space_group_IT_number 1
_space_group_name_Hall 'P 1'
_cell_length_a 7.121
_cell_length_b 7.121
_cell_length_c 7.121
_cell_angle_alpha 60.00
_cell_angle_beta 60.00
_cell_angle_gamma 60.00
loop_
_atom_site_label
_atom_site_fract_x
_atom_site_fract_y
_atom_site_fract_z
Ac1 0.625 0.625 0.125
Ac2 0.125 0.625 0.625
Ac3 0.625 0.125 0.625
Ac4 0.625 0.625 0.625
Ho1 0.250 0.250 0.250
Dy1 0.000 0.000 0.000
```

- Total moment: 0.0 μB per formula unit


2.
## Ac4DyHo (PBE)

Data for a relaxed Ac4DyHo crystal.

Structure (CIF):
```
data_Ac4DyHo
_chemical_formula_sum 'Ac8 Dy2 Ho2'
_space_group_name_H-M_alt 'P 1'
_space_group_IT_number 1
_space_group_name_Hall 'P 1'
_cell_length_a 5.833
_cell_length_b 7.436
_cell_length_c 11.221
_cell_angle_alpha 90.00
_cell_angle_beta 90.00
_cell_angle_gamma 90.00
loop_
_atom_site_label
_atom_site_fract_x
_atom_site_fract_y
_atom_site_fract_z
Ac1 0.500 0.500 0.157
Ac2 0.000 0.500 0.343
Ac3 0.000 0.000 0.657
Ac4 0.000 0.500 0.657
Ac5 0.500 0.000 0.157
Ac6 0.500 0.500 0.843
Ac7 0.000 0.000 0.343
Ac8 0.500 0.000 0.843
Ho1 0.000 0.750 0.000
Ho2 0.000 0.250 0.000
Dy1 0.500 0.250 0.500
Dy2 0.500 0.750 0.500
```

- Total moment: 0.0 μB per formula unit


Most stable structure - 2; separation to the second - 224 meV per atom.


1.
## AcDy8Ho6 (PBE)

Data for a relaxed AcDy8Ho6 crystal.

Structure (CIF):
```
data_AcDy8Ho6
_chemical_formula_sum 'Ac1 Dy8 Ho6'
_space_group_name_H-M_alt 'P 1'
_space_group_IT_number 1
_space_group_name_Hall 'P 1'
_cell_length_a 8.208
_cell_length_b 8.208
_cell_length_c 8.208
_cell_angle_alpha 71.96
_cell_angle_beta 71.96
_cell_angle_gamma 71.96
loop_
_atom_site_label
_atom_site_fract_x
_atom_site_fract_y
_atom_site_fract_z
Dy1 0.762 0.762 0.762
Dy2 0.944 0.612 0.142
Dy3 0.056 0.388 0.858
Dy4 0.142 0.944 0.612
Dy5 0.238 0.238 0.238
Dy6 0.388 0.858 0.056
Dy7 0.612 0.142 0.944
Dy8 0.858 0.056 0.388
Ho1 0.433 0.173 0.617
Ho2 0.827 0.383 0.567
Ho3 0.567 0.827 0.383
Ho4 0.383 0.567 0.827
Ho5 0.617 0.433 0.173
Ho6 0.173 0.617 0.433
Ac1 0.000 0.000 0.000
```

- Total moment: 0.0 μB per formula unit


2.
## AcDy8Ho6 (PBE)

Data for a relaxed AcDy8Ho6 crystal.

Structure (CIF):
```
data_AcDy8Ho6
_chemical_formula_sum 'Ac1 Dy8 Ho6'
_space_group_name_H-M_alt 'P 1'
_space_group_IT_number 1
_space_group_name_Hall 'P 1'
_cell_length_a 9.015
_cell_length_b 9.015
_cell_length_c 8.658
_cell_angle_alpha 58.63
_cell_angle_beta 58.63
_cell_angle_gamma 60.00
loop_
_atom_site_label
_atom_site_fract_x
_atom_site_fract_y
_atom_site_fract_z
Ho1 0.102 0.242 0.124
Ho2 0.898 0.758 0.876
Ho3 0.758 0.468 0.876
Ho4 0.532 0.102 0.124
Ho5 0.468 0.898 0.876
Ho6 0.242 0.532 0.124
Ac1 0.000 0.000 0.000
Dy1 0.744 0.719 0.426
Dy2 0.423 0.423 0.731
Dy3 0.111 0.744 0.426
Dy4 0.577 0.577 0.269
Dy5 0.281 0.889 0.574
Dy6 0.719 0.111 0.426
Dy7 0.889 0.256 0.574
Dy8 0.256 0.281 0.574
```

- Total moment: 0.0 μB per formula unit


Most stable structure - 2; separation to the second - 77 meV per atom.